! PBE CdOsN2F, relaxed; values from VASP
! Space group: P4/mmm, No. 123
! DFT total energy (eV per cell): -20.40
! Total moment (μB per atom): 0.65
! E_form (uncorrected) (meV/atom): 2054
! Calculated density (g/cm³): 8.025
! Calculated volume (Å³/atom): 14.47
! Energy above the most stable polymorph in this dataset (eV/atom): 1.815
&SYSTEM
  ibrav = 0, nat = 5, ntyp = 4
/
ATOMIC_SPECIES
N 14.01 N.upf
F 19.00 F.upf
Os 190.23 Os.upf
Cd 112.41 Cd.upf
CELL_PARAMETERS angstrom
-4.0499 0.6097 0.9143
-0.7516 -4.0839 -0.6056
0.7851 -0.7326 3.9659
ATOMIC_POSITIONS angstrom
N -0.3758 -2.0419 -0.3028
N -2.0250 0.3049 0.4572
F 0.3925 -0.3663 1.9830
Os -2.0082 -2.1034 2.1373
Cd 0.0000 0.0000 0.0000